A geometry-optimized Pr2CuSb4Pd structure, computed with PBE.

Summary:
size of the total moment = 0.000 μB/atom
V = 24.816 Å³ per atom
energy = -5.135 eV/atom

```
8
Lattice="4.432 0.000 0.000 0.000 4.432 0.000 0.000 0.000 10.109" Properties=species:S:1:pos:R:3 pbc="T T T"
Pr 2.216 0.000 7.592
Pr 0.000 2.216 2.517
Sb 0.000 2.216 8.569
Sb 0.000 0.000 5.054
Sb 2.216 2.216 5.054
Sb 2.216 0.000 1.540
Pd 2.216 2.216 0.000
Cu 0.000 0.000 0.000
```